A relaxed structure of SrCr2W. Source: Alexandria, functional PBE.

Values from the calculation:
Energy relative to the lowest polymorph listed for this composition ... 508 meV/atom
Fermi-level density of states ... 4.08 states/eV/cell
Energy of formation ... 1187 meV/atom

```
SrCr2W
1.0
-1.040 -0.799 4.538
3.953 -2.544 0.458
1.609 2.651 0.836
Sr W Cr
1 1 2
Direct
0.500 0.000 0.500
0.000 0.500 0.500
0.000 0.000 0.000
0.500 0.500 0.000
```

A relaxed structure of MgInSi2. Source: Alexandria, functional PBE.

Values from the calculation:
Energy relative to the lowest polymorph listed for this composition ... 194 meV/atom
Fermi-level density of states ... 1.30 states/eV/cell
Raw formation energy ... 1.50 eV/f.u.

```
MgInSi2
1.0
0.000 3.409 3.409
3.409 0.000 3.409
3.409 3.409 0.000
In Si Mg
1 2 1
Direct
0.500 0.500 0.500
0.750 0.750 0.750
0.250 0.250 0.250
0.000 0.000 0.000
```